Here is a geometry-optimized Tm4Au2N structure from Alexandria. Energies are from PBE-GGA.

a b c (Å): 4.6248 4.6248 7.9576
angles (deg): 73.11 73.11 90.00
Last column: nearest neighbours and their distance in Å.
Positions (direct):
Tm 0.8268 0.8268 0.3464  1 N 2.51
Tm 0.1732 0.1732 0.6536  1 N 2.51
Tm 0.0000 0.5000 0.0000  2 N 2.31
Tm 0.5000 0.0000 0.0000  2 N 2.31
Au 0.6321 0.6321 0.7358  5 Tm 2.82-3.00
Au 0.3679 0.3679 0.2642  5 Tm 2.82-3.00
N 0.0000 0.0000 0.0000  6 Tm 2.31-2.51

Properties
DFT total energy   -5.64 eV per atom
Space-group type   I4/mmm, No. 139
D(E_F)   8.316 states/eV/f.u.
Energy relative to the elements, uncorrected   -92.31 kJ/mol of atoms